First-principles (GGA-PBE) data for a relaxed structure of PmAlGa2Ni5, as listed in Alexandria via LeMat-Bulk.

```
PmAlGa2Ni5
1.0
4.4818 0.0000 0.0000
0.0000 4.4818 0.0000
0.0000 0.0000 6.9736
Pm Al Ga Ni
1 1 2 5
Direct
0.0000 0.0000 0.0000 Pm
0.0000 0.0000 0.5000 Al
0.5000 0.5000 0.3253 Ga
0.5000 0.5000 0.6747 Ga
0.0000 0.5000 0.2982 Ni
0.0000 0.5000 0.7018 Ni
0.5000 0.0000 0.2982 Ni
0.5000 0.0000 0.7018 Ni
0.5000 0.5000 0.0000 Ni
```

Formation energy ... -0.0883 eV/atom
Total magnetic moment ... 0.000 μB/atom
SG ... P4/mmm
Total DFT energy (no corrections) ... -4.916 eV per atom